## one
A plane-wave DFT calculation with PBE-GGA was carried out for a geometry-optimized Mg3BeIr structure.

CIF file:
```
data_Mg3BeIr
_space_group_name_H-M_alt 'P m -3 m'
_space_group_IT_number 221
_space_group_name_Hall '-P 4 2 3'
_cell_length_a 4.937
_cell_length_b 4.937
_cell_length_c 4.937
_cell_angle_alpha 90.00
_cell_angle_beta 90.00
_cell_angle_gamma 90.00
loop_
_atom_site_label
_atom_site_type_symbol
_atom_site_fract_x
_atom_site_fract_y
_atom_site_fract_z
Mg1 Mg 0.000 0.000 0.500
Be1 Be 0.500 0.500 0.500
Ir1 Ir 0.000 0.000 0.000
```

DOS(E_F) = 1.99 states/eV/cell
total moment = 0.00 Bohr magnetons per cell



## two
A plane-wave DFT calculation with PBE-GGA was carried out for a geometry-optimized Mg3BeIr structure.

CIF file:
```
data_Mg3BeIr
_space_group_name_H-M_alt 'P m -3 m'
_space_group_IT_number 221
_space_group_name_Hall '-P 4 2 3'
_cell_length_a 4.496
_cell_length_b 4.496
_cell_length_c 4.496
_cell_angle_alpha 90.00
_cell_angle_beta 90.00
_cell_angle_gamma 90.00
loop_
_atom_site_label
_atom_site_type_symbol
_atom_site_fract_x
_atom_site_fract_y
_atom_site_fract_z
Mg1 Mg 0.000 0.000 0.500
Be1 Be 0.000 0.000 0.000
Ir1 Ir 0.500 0.500 0.500
```

DOS(E_F) = 3.53 states/eV/cell
total moment = 0.00 Bohr magnetons per cell



one (117 meV/atom below the next structure)